No. 1
Below is Sm2DyAg3 after structural relaxation, with properties calculated at the PBE level.

Computed properties:
* DOS(E_F): 3.330 states/eV/f.u.
* energy: -0.149 Ha/atom
* DFT formation energy: -0.296 eV/atom

Cell: 3.668 3.668 11.159 Å, 90.00 90.00 90.00°
Space group P4/mmm (No. 123)
Symmetry-distinct sites (fractional):
Sm  0.000  0.000  0.169
Dy  0.000  0.000  0.500
Ag  0.500  0.500  0.000
Ag  0.500  0.500  0.342


No. 2
Below is BeCdRh after structural relaxation, with properties calculated at the PBE level.

Computed properties:
* DOS(E_F): 0.782 states/eV/f.u.
* distance to the lowest polymorph of the same formula: 214 meV per atom
* energy: -0.149 Ha/atom
* DFT formation energy: -0.065 eV/atom

Cell: 4.272 4.272 5.110 Å, 90.00 90.00 90.00°
Space group P4/nmm (No. 129, origin choice 2)
Symmetry-distinct sites (fractional):
Be  0.250  0.750  0.000
Cd  0.250  0.750  0.500
Rh  0.250  0.250  0.102


No. 3
Below is ZrSc5Pd6 after structural relaxation, with properties calculated at the PBE level.

Computed properties:
* DOS(E_F): 9.129 states/eV/f.u.
* energy: -0.249 Ha/atom
* DFT formation energy: -0.841 eV/atom

Cell: 8.123 14.104 4.709 Å, 90.00 125.37 90.00°
Space group C2/m (No. 12)
Symmetry-distinct sites (fractional):
Zr  0.000  0.000  0.000
Sc  0.000  0.168  0.500
Sc  0.000  0.333  0.000
Sc  0.000  0.500  0.500
Pd  0.246  0.000  0.746
Pd  0.249  0.166  0.249


No. 4
Below is SbPRu3 after structural relaxation, with properties calculated at the PBE level.

Computed properties:
* E_form (uncorrected): 325 meV per atom
* DOS(E_F): 6.462 states/eV/f.u.
* distance to the lowest polymorph of the same formula: 0 meV per atom
* energy: -0.263 Ha/atom

Cell: 4.411 4.411 4.411 Å, 90.00 90.00 90.00°
Space group Pm-3m (No. 221)
Symmetry-distinct sites (fractional):
Sb  0.000  0.000  0.000
P  0.500  0.500  0.500
Ru  0.000  0.500  0.500


Copy entry 1 word for word.
Below is Sm2DyAg3 after structural relaxation, with properties calculated at the PBE level.

Computed properties:
* DOS(E_F): 3.330 states/eV/f.u.
* energy: -0.149 Ha/atom
* DFT formation energy: -0.296 eV/atom

Cell: 3.668 3.668 11.159 Å, 90.00 90.00 90.00°
Space group P4/mmm (No. 123)
Symmetry-distinct sites (fractional):
Sm  0.000  0.000  0.169
Dy  0.000  0.000  0.500
Ag  0.500  0.500  0.000
Ag  0.500  0.500  0.342